The following is a PBE+U calculation of a geometry-optimized Fe3PdF structure, from Alexandria via LeMat-Bulk.

abc: 4.1891 4.1891 4.1891
angles: 90.00 90.00 90.00
Closest atoms and distances in Å follow each position.
Atoms (fractional coordinates):
1 Fe 0.5000 0.0000 0.0000  2 F 2.09
2 Fe 0.0000 0.5000 0.0000  2 F 2.09
3 Fe 0.0000 0.0000 0.5000  2 F 2.09
4 F 0.0000 0.0000 0.0000  6 Fe 2.09
5 Pd 0.5000 0.5000 0.5000  12 Fe 2.96

Results
The calculation puts the volume at 73.5 Å³ per cell. The energy above the lowest structure with this stoichiometry comes out at 0 meV per atom.